1.
Below is Ca2CdHg after structural relaxation, with properties calculated at the GGA-PBE level.

POSCAR file:
```
Ca2CdHg
1.0
7.627 0.000 0.000
0.000 7.627 0.000
0.000 0.000 7.627
Ca Cd Hg
8 4 4
Direct
0.250 0.250 0.250
0.250 0.250 0.750
0.250 0.750 0.250
0.250 0.750 0.750
0.750 0.250 0.250
0.750 0.250 0.750
0.750 0.750 0.250
0.750 0.750 0.750
0.000 0.000 0.000
0.000 0.500 0.500
0.500 0.000 0.500
0.500 0.500 0.000
0.000 0.000 0.500
0.000 0.500 0.000
0.500 0.000 0.000
0.500 0.500 0.500
```

Calculated values
symmetry = Fm-3m, No. 225
total magnetic moment = 0.00 μB/f.u.
distance to the lowest polymorph of the same formula = 0.000 eV/atom
calculated total energy = -1.760 eV per atom
formation enthalpy at 0 K = -0.4546 eV/atom



2.
Below is La3YRh2 after structural relaxation, with properties calculated at the GGA-PBE level.

POSCAR file:
```
La3YRh2
1.0
4.587 0.000 0.000
0.000 5.027 0.000
-2.284 -2.502 7.278
La Y Rh
3 1 2
Direct
0.000 0.000 0.000
0.193 0.693 0.385
0.807 0.307 0.615
0.500 0.500 0.000
0.371 0.872 0.740
0.629 0.128 0.260
```

Calculated values
symmetry = P-1, No. 2
total magnetic moment = 0.00 μB/f.u.
calculated total energy = -6.504 eV per atom
formation enthalpy at 0 K = -0.5129 eV/atom



3.
Below is CsGa2IrRh after structural relaxation, with properties calculated at the GGA-PBE level.

POSCAR file:
```
CsGa2IrRh
1.0
4.757 0.000 0.000
0.000 4.757 0.000
0.000 0.000 6.421
Cs Ga Ir Rh
1 2 1 1
Direct
0.000 0.000 0.000
0.000 0.500 0.500
0.500 0.000 0.500
0.000 0.000 0.500
0.500 0.500 0.000
```

Calculated values
symmetry = P4/mmm, No. 123
total magnetic moment = 0.90 μB/f.u.
calculated total energy = -3.868 eV per atom
formation enthalpy at 0 K = 0.7563 eV/atom



4.
Below is KGeBi after structural relaxation, with properties calculated at the GGA-PBE level.

POSCAR file:
```
KGeBi
1.0
5.466 0.000 0.000
-2.733 4.733 0.000
0.000 0.000 3.488
K Ge Bi
1 1 1
Direct
0.000 0.000 0.000
0.333 0.667 0.500
0.667 0.333 0.500
```

Calculated values
symmetry = P-6m2, No. 187
total magnetic moment = 0.00 μB/f.u.
distance to the lowest polymorph of the same formula = 0.056 eV/atom
calculated total energy = -3.230 eV per atom
formation enthalpy at 0 K = -0.0316 eV/atom



5.
Below is Li4AgPt after structural relaxation, with properties calculated at the GGA-PBE level.

POSCAR file:
```
Li4AgPt
1.0
7.423 0.000 0.000
0.000 4.306 0.000
-0.048 0.000 5.561
Li Ag Pt
8 2 2
Direct
0.167 0.000 0.181
0.167 0.000 0.719
0.333 0.500 0.281
0.333 0.500 0.819
0.667 0.500 0.181
0.667 0.500 0.719
0.833 0.000 0.281
0.833 0.000 0.819
0.000 0.500 0.500
0.500 0.000 0.500
0.000 0.500 0.000
0.500 0.000 0.000
```

Calculated values
symmetry = C2/m, No. 12
total magnetic moment = 0.00 μB/f.u.
distance to the lowest polymorph of the same formula = 0.000 eV/atom
calculated total energy = -3.118 eV per atom
formation enthalpy at 0 K = -0.3602 eV/atom



6.
Below is La2PaZnN4 after structural relaxation, with properties calculated at the GGA-PBE level.

POSCAR file:
```
La2PaZnN4
1.0
5.788 0.000 0.000
0.000 3.828 0.000
-1.027 0.000 6.014
La Pa Zn N
2 1 1 4
Direct
0.000 0.000 0.000
0.500 0.500 0.000
0.000 0.500 0.500
0.500 0.000 0.500
0.183 0.500 0.231
0.258 0.000 0.698
0.742 0.000 0.302
0.817 0.500 0.769
```

Calculated values
symmetry = P2/m, No. 10
formation energy without anion corrections = -1.04 eV/atom
total magnetic moment = 0.00 μB/f.u.
calculated total energy = -7.779 eV per atom



7.
Below is LaTaHN2 after structural relaxation, with properties calculated at the GGA-PBE level.

POSCAR file:
```
LaTaHN2
1.0
-2.937 2.937 3.699
2.937 -2.937 3.699
2.937 2.937 -3.699
La Ta H N
2 2 2 4
Direct
0.250 0.750 0.500
0.750 0.250 0.500
0.000 0.000 0.000
0.500 0.500 0.000
0.250 0.250 0.000
0.750 0.750 0.000
0.237 0.737 0.974
0.263 0.237 0.500
0.737 0.763 0.500
0.763 0.263 0.026
```

Calculated values
symmetry = I4/mcm, No. 140
total magnetic moment = 0.00 μB/f.u.
distance to the lowest polymorph of the same formula = 0.000 eV/atom
calculated total energy = -8.427 eV per atom



8.
Below is K2ZrBiC after structural relaxation, with properties calculated at the GGA-PBE level.

POSCAR file:
```
K2ZrBiC
1.0
5.918 0.000 0.000
0.000 5.918 0.000
0.000 0.000 4.251
K Zr Bi C
2 1 1 1
Direct
0.000 0.500 0.000
0.500 0.000 0.000
0.000 0.000 0.500
0.500 0.500 0.500
0.000 0.000 0.000
```

Calculated values
symmetry = P4/mmm, No. 123
total magnetic moment = 0.00 μB/f.u.
calculated total energy = -4.216 eV per atom
formation enthalpy at 0 K = 0.5532 eV/atom



9.
Below is HoFe2SiGe2 after structural relaxation, with properties calculated at the GGA-PBE level.

POSCAR file:
```
HoFe2SiGe2
1.0
4.259 0.000 0.000
0.000 4.259 0.000
0.000 0.000 5.441
Ho Fe Si Ge
1 2 1 2
Direct
0.000 0.000 0.000
0.000 0.500 0.500
0.500 0.000 0.500
0.000 0.000 0.500
0.500 0.500 0.236
0.500 0.500 0.764
```

Calculated values
symmetry = P4/mmm, No. 123
formation energy without anion corrections = -0.19 eV/atom
total magnetic moment = 2.29 μB/f.u.
calculated total energy = -6.215 eV per atom



10.
Below is TbDyY2Sc4 after structural relaxation, with properties calculated at the GGA-PBE level.

POSCAR file:
```
TbDyY2Sc4
1.0
4.903 0.000 0.000
0.000 4.903 0.000
0.000 0.000 9.338
Tb Dy Y Sc
1 1 2 4
Direct
0.000 0.000 0.000
0.500 0.500 0.500
0.000 0.000 0.500
0.500 0.500 0.000
0.000 0.500 0.250
0.000 0.500 0.750
0.500 0.000 0.250
0.500 0.000 0.750
```

Calculated values
symmetry = P4/mmm, No. 123
total magnetic moment = 0.00 μB/f.u.
calculated total energy = -5.880 eV per atom
formation enthalpy at 0 K = 0.0560 eV/atom